1.
Computed, not measured: an optimized crystal structure of Fe2PdW at the PBE-GGA level of DFT.

Lattice parameters (Å, degrees): 4.256 4.256 4.256 60.00 60.00 60.00
Sites, in units of the cell vectors:
W1 0.500 0.500 0.500
Pd1 0.000 0.000 0.000
Fe1 0.750 0.750 0.750
Fe2 0.250 0.250 0.250

ΔH_f (0 K): 0.2082 eV/atom
crystal system: cubic
space group: Fm-3m

---

2.
Computed, not measured: an optimized crystal structure of Ce5Sn2Te2 at the PBE-GGA level of DFT.

Lattice parameters (Å, degrees): 8.318 8.343 8.926 90.00 62.23 90.00
Sites, in units of the cell vectors:
Te1 0.202 0.000 0.596
Ce1 0.000 0.000 0.000
Ce2 0.500 0.500 0.000
Ce3 0.467 0.169 0.725
Te2 0.702 0.500 0.596
Ce4 0.033 0.669 0.275
Ce5 0.967 0.331 0.725
Sn1 0.370 0.870 0.000
Te3 0.298 0.500 0.404
Te4 0.798 0.000 0.404
Ce6 0.192 0.169 0.275
Sn2 0.630 0.130 0.000
Ce7 0.533 0.831 0.275
Ce8 0.308 0.669 0.725
Sn3 0.870 0.630 0.000
Sn4 0.130 0.370 0.000
Ce9 0.808 0.831 0.725
Ce10 0.692 0.331 0.275

formation energy without anion corrections: -20.4 kcal/mol of atoms
crystal system: orthorhombic
space group: Cmce

---

3.
Computed, not measured: an optimized crystal structure of Pm10Sm4Y at the PBE-GGA level of DFT.

Lattice parameters (Å, degrees): 11.551 9.085 9.085 66.17 50.53 50.53
Sites, in units of the cell vectors:
Pm1 0.392 0.889 0.652
Pm2 0.250 0.500 0.500
Pm3 0.933 0.111 0.348
Pm4 0.282 0.652 0.111
Sm1 0.566 0.615 0.252
Pm5 0.956 0.652 0.111
Pm6 0.608 0.111 0.348
Sm2 0.181 0.252 0.385
Sm3 0.819 0.748 0.615
Pm7 0.044 0.348 0.889
Pm8 0.750 0.500 0.500
Y1 0.000 0.000 0.000
Sm4 0.434 0.385 0.748
Pm9 0.067 0.889 0.652
Pm10 0.718 0.348 0.889

ΔH_f (0 K): 0.4072 eV/atom
crystal system: tetragonal
space group: I4/m

---

4.
Computed, not measured: an optimized crystal structure of BiBr3 at the PBE-GGA level of DFT.

Lattice parameters (Å, degrees): 3.863 7.470 7.292 120.81 105.36 90.00
Sites, in units of the cell vectors:
Br1 0.341 0.737 0.682
Bi1 0.000 0.042 0.000
Br2 0.500 0.334 0.000
Br3 0.659 0.054 0.318

formation energy without anion corrections: -15.6 kcal/mol of atoms
crystal system: orthorhombic
space group: Imm2

---

5.
Computed, not measured: an optimized crystal structure of KHo6Te8 at the PBE-GGA level of DFT.

Lattice parameters (Å, degrees): 8.428 8.428 8.428 91.83 91.83 91.83
Sites, in units of the cell vectors:
Ho1 0.563 0.202 0.397
Te1 0.605 0.864 0.284
Te2 0.716 0.395 0.136
Te3 0.864 0.284 0.605
Te4 0.136 0.716 0.395
Ho2 0.202 0.397 0.563
Te5 0.243 0.243 0.243
Ho3 0.603 0.437 0.798
Ho4 0.798 0.603 0.437
Te6 0.757 0.757 0.757
Te7 0.284 0.605 0.864
Ho5 0.397 0.563 0.202
Ho6 0.437 0.798 0.603
K1 0.000 0.000 0.000
Te8 0.395 0.136 0.716

formation energy without anion corrections: -28.4 kcal/mol of atoms
crystal system: trigonal
space group: R-3

---

6.
Computed, not measured: an optimized crystal structure of PuHfSc2As4 at the PBE-GGA level of DFT.

Lattice parameters (Å, degrees): 3.931 6.811 6.775 109.30 90.00 90.00
Sites, in units of the cell vectors:
As1 0.500 0.738 0.741
As2 0.000 0.258 0.747
Sc1 0.500 0.000 0.500
As3 0.500 0.262 0.259
Sc2 0.000 0.500 0.500
As4 0.000 0.742 0.253
Hf1 0.500 0.500 0.000
Pu1 0.000 0.000 0.000

ΔH_f (0 K): -1.1985 eV/atom
crystal system: monoclinic
space group: P2/m

---

7.
Computed, not measured: an optimized crystal structure of Ga3CuAu6 at the PBE-GGA level of DFT.

Lattice parameters (Å, degrees): 4.089 10.539 9.807 119.81 90.00 90.00
Sites, in units of the cell vectors:
Au1 0.750 0.814 0.785
Au2 0.750 0.864 0.374
Ga1 0.250 0.697 0.212
Au3 0.750 0.951 0.115
Ga2 0.750 0.219 0.053
Cu1 0.750 0.022 0.698
Au4 0.750 0.186 0.445
Au5 0.750 0.507 0.694
Ga3 0.250 0.387 0.509
Ga4 0.250 0.781 0.947
Cu2 0.250 0.978 0.302
Au6 0.250 0.049 0.885
Au7 0.250 0.136 0.626
Au8 0.250 0.493 0.306
Au9 0.250 0.186 0.215
Au10 0.250 0.515 0.903
Ga5 0.750 0.613 0.491
Ga6 0.750 0.303 0.788
Au11 0.750 0.485 0.097
Au12 0.250 0.814 0.555

ΔH_f (0 K): -0.1170 eV/atom
crystal system: monoclinic
space group: P2_1/m

---

8.
Computed, not measured: an optimized crystal structure of Ta2Br8Cl at the PBE-GGA level of DFT.

Lattice parameters (Å, degrees): 7.689 7.689 8.087 91.42 91.42 109.05
Sites, in units of the cell vectors:
Br1 0.270 0.878 0.279
Br2 0.816 0.816 0.404
Br3 0.628 0.628 0.792
Br4 0.730 0.122 0.721
Cl1 0.000 0.000 0.000
Br5 0.372 0.372 0.208
Ta1 0.890 0.890 0.715
Br6 0.122 0.730 0.721
Br7 0.184 0.184 0.596
Br8 0.878 0.270 0.279
Ta2 0.110 0.110 0.285

formation energy without anion corrections: -20.4 kcal/mol of atoms
crystal system: monoclinic
space group: C2/m

---

9.
Computed, not measured: an optimized crystal structure of GePd6Au at the PBE-GGA level of DFT.

Lattice parameters (Å, degrees): 4.032 4.032 7.670 90.00 90.00 90.00
Sites, in units of the cell vectors:
Pd1 0.000 0.500 0.738
Pd2 0.500 0.000 0.738
Pd3 0.500 0.500 0.500
Au1 0.000 0.000 0.000
Ge1 0.000 0.000 0.500
Pd4 0.000 0.500 0.262
Pd5 0.500 0.000 0.262
Pd6 0.500 0.500 0.000

ΔH_f (0 K): -0.1902 eV/atom
crystal system: tetragonal
space group: P4/mmm

---

10.
Computed, not measured: an optimized crystal structure of Mg3Co at the PBE-GGA level of DFT.

Lattice parameters (Å, degrees): 2.930 4.703 5.201 90.00 90.00 90.00
Sites, in units of the cell vectors:
Mg1 0.000 0.500 0.327
Mg2 0.000 0.000 0.659
Co1 0.500 0.000 0.155
Mg3 0.500 0.500 0.859

ΔH_f (0 K): 0.1966 eV/atom
crystal system: orthorhombic
space group: Pmm2

---

11.
Computed, not measured: an optimized crystal structure of In3GePd at the PBE-GGA level of DFT.

Lattice parameters (Å, degrees): 5.149 5.149 5.149 90.00 90.00 90.00
Sites, in units of the cell vectors:
In1 0.000 0.500 0.000
In2 0.000 0.000 0.500
Ge1 0.500 0.500 0.500
In3 0.500 0.000 0.000
Pd1 0.000 0.000 0.000

ΔH_f (0 K): 0.1564 eV/atom
crystal system: cubic
space group: Pm-3m

---

12.
Computed, not measured: an optimized crystal structure of K2TlGa3I6 at the PBE-GGA level of DFT.

Lattice parameters (Å, degrees): 4.871 9.758 10.931 103.08 102.87 90.00
Sites, in units of the cell vectors:
Ga1 0.832 0.167 0.664
Tl1 0.500 0.000 0.000
K1 0.167 0.332 0.334
I1 0.329 0.927 0.659
I2 0.338 0.408 0.676
I3 0.671 0.073 0.341
K2 0.833 0.668 0.666
Ga2 0.168 0.833 0.336
I4 0.003 0.739 0.007
I5 0.997 0.261 0.993
Ga3 0.500 0.500 0.000
I6 0.662 0.592 0.324

formation energy without anion corrections: -17.7 kcal/mol of atoms
crystal system: monoclinic
space group: C2/m

---

Number 11 is which compound? In3GePd

---

Please write out number 12 again, unchanged.
Computed, not measured: an optimized crystal structure of K2TlGa3I6 at the PBE-GGA level of DFT.

Lattice parameters (Å, degrees): 4.871 9.758 10.931 103.08 102.87 90.00
Sites, in units of the cell vectors:
Ga1 0.832 0.167 0.664
Tl1 0.500 0.000 0.000
K1 0.167 0.332 0.334
I1 0.329 0.927 0.659
I2 0.338 0.408 0.676
I3 0.671 0.073 0.341
K2 0.833 0.668 0.666
Ga2 0.168 0.833 0.336
I4 0.003 0.739 0.007
I5 0.997 0.261 0.993
Ga3 0.500 0.500 0.000
I6 0.662 0.592 0.324

formation energy without anion corrections: -17.7 kcal/mol of atoms
crystal system: monoclinic
space group: C2/m